[1]
Crystalline Th3GeIr at its relaxed geometry, computed with PBE.

Values from the calculation:
Total magnetization (μB/atom): 0.00
DFT formation energy (eV per atom): -0.65
Raw total energy (eV per formula unit): -38.985

Cell lengths 4.141, 7.975, 8.496 Å; angles 103.05, 90.00, 90.00 degrees
Atoms (fractional coordinates):
Ir (0.250, 0.913, 0.384)
Ir (0.750, 0.087, 0.616)
Ge (0.250, 0.389, 0.235)
Ge (0.750, 0.611, 0.765)
Th (0.750, 0.082, 0.247)
Th (0.750, 0.663, 0.406)
Th (0.250, 0.918, 0.753)
Th (0.750, 0.312, 0.954)
Th (0.250, 0.688, 0.046)
Th (0.250, 0.337, 0.594)

[2]
Crystalline PmTm8Hg2 at its relaxed geometry, computed with PBE.

Values from the calculation:
Total magnetization (μB/atom): 0.00
DFT formation energy (eV per atom): -0.04
Raw total energy (eV per formula unit): -41.583

Cell lengths 5.462, 8.529, 8.529 Å; angles 118.13, 100.19, 100.19 degrees
Atoms (fractional coordinates):
Tm (0.298, 0.600, 0.600)
Tm (0.109, 0.322, 0.091)
Tm (0.109, 0.091, 0.322)
Tm (0.500, 0.227, 0.773)
Tm (0.891, 0.909, 0.678)
Tm (0.891, 0.678, 0.909)
Tm (0.702, 0.400, 0.400)
Tm (0.500, 0.773, 0.227)
Hg (0.000, 0.307, 0.693)
Hg (0.000, 0.693, 0.307)
Pm (0.500, 0.000, 0.000)

[3]
Crystalline TlRe2Se at its relaxed geometry, computed with PBE.

Values from the calculation:
Total magnetization (μB/atom): 0.00
Energy relative to the lowest polymorph listed for this composition (eV per formula unit): 2.95
Energy relative to the elements, uncorrected (meV/atom): 1118
Raw total energy (eV per formula unit): -26.275

Cell lengths 3.088, 3.088, 8.816 Å; angles 90.00, 90.00, 121.29 degrees
Atoms (fractional coordinates):
Re (0.000, 0.000, 0.472)
Re (0.000, 0.000, 0.028)
Tl (0.500, 0.500, 0.750)
Se (0.500, 0.500, 0.250)

[4]
Crystalline CuReSn2 at its relaxed geometry, computed with PBE.

Values from the calculation:
Total magnetization (μB/atom): 0.00
Energy relative to the lowest polymorph listed for this composition (eV per formula unit): 0.00
DFT formation energy (eV per atom): 0.56
Raw total energy (eV per formula unit): -22.307

Cell lengths 4.684, 4.684, 4.684 Å; angles 60.00, 60.00, 60.00 degrees
Atoms (fractional coordinates):
Re (0.500, 0.500, 0.500)
Sn (0.750, 0.750, 0.750)
Sn (0.250, 0.250, 0.250)
Cu (0.000, 0.000, 0.000)

[5]
Crystalline GaBi2Au at its relaxed geometry, computed with PBE.

Values from the calculation:
Total magnetization (μB/atom): 0.00
DFT formation energy (eV per atom): 0.20
Raw total energy (eV per formula unit): -13.273

Cell lengths 3.424, 3.424, 10.952 Å; angles 81.01, 81.01, 60.00 degrees
Atoms (fractional coordinates):
Bi (0.094, 0.094, 0.718)
Bi (0.906, 0.906, 0.282)
Ga (0.000, 0.000, 0.000)
Au (0.500, 0.500, 0.500)

[6]
Crystalline Ba3Cd4Rh2 at its relaxed geometry, computed with PBE.

Values from the calculation:
Total magnetization (μB/atom): 0.00
Energy relative to the lowest polymorph listed for this composition (eV per formula unit): 0.00
DFT formation energy (eV per atom): -0.25
Raw total energy (eV per formula unit): -26.420

Cell lengths 4.604, 6.804, 10.118 Å; angles 67.84, 76.85, 70.22 degrees
Atoms (fractional coordinates):
Ba (0.687, 0.261, 0.365)
Ba (0.000, 0.000, 0.000)
Ba (0.313, 0.739, 0.635)
Cd (0.275, 0.373, 0.078)
Cd (0.968, 0.704, 0.360)
Cd (0.725, 0.627, 0.922)
Cd (0.032, 0.296, 0.640)
Rh (0.613, 0.045, 0.730)
Rh (0.387, 0.955, 0.270)

[7]
Crystalline CaZn2InNi at its relaxed geometry, computed with PBE.

Values from the calculation:
Total magnetization (μB/atom): 0.00
DFT formation energy (eV per atom): -0.17
Raw total energy (eV per formula unit): -13.895

Cell lengths 4.702, 4.702, 4.851 Å; angles 90.00, 90.00, 90.00 degrees
Atoms (fractional coordinates):
Zn (0.500, 0.000, 0.000)
Zn (0.000, 0.500, 0.000)
Ca (0.500, 0.500, 0.500)
In (0.000, 0.000, 0.500)
Ni (0.000, 0.000, 0.000)

[8]
Crystalline KHg5H6 at its relaxed geometry, computed with PBE.

Values from the calculation:
Total magnetization (μB/atom): 0.00
Raw total energy (eV per formula unit): -20.544

Cell lengths 7.299, 7.005, 6.406 Å; angles 105.53, 107.56, 119.33 degrees
Atoms (fractional coordinates):
Hg (0.337, 0.337, 0.674)
Hg (0.350, 0.850, 0.700)
Hg (0.650, 0.150, 0.300)
Hg (0.663, 0.663, 0.326)
Hg (0.000, 0.500, 0.000)
H (0.385, 0.015, 0.300)
H (0.818, 0.580, 0.000)
H (0.615, 0.985, 0.700)
H (0.915, 0.286, 0.300)
H (0.182, 0.420, 0.000)
H (0.085, 0.714, 0.700)
K (0.000, 0.000, 0.000)

> What is the total magnetization in the seventh record?

0.00 μB/atom

> Number 3 is which compound?

TlRe2Se